1.
Density functional theory data (meta-GGA SCAN) for a PBEsol-optimized structure of AlPbW2S.

Cell: 4.4226 4.4226 5.3009 Å, 90.00 90.00 90.00°
With the nearest neighbours (Å) after each atom.
Positions (direct):
1 Pb 0.0000 0.0000 0.5000  2 S 2.65
2 S 0.0000 0.0000 0.0000  4 W 2.21
3 Al 0.5000 0.5000 0.5000  4 Pb 3.13, 8 W 3.45
4 W 0.0000 0.5000 0.0000  2 S 2.21
5 W 0.5000 0.0000 0.0000  2 S 2.21

Formation energy from raw total energies: 1.37 eV per atom
Crystal system: tetragonal
E_tot: -45.14 eV/atom

***

2.
Density functional theory data (meta-GGA SCAN) for a PBEsol-optimized structure of TlSi2Pb.

Cell: 3.2713 4.4180 6.7215 Å, 90.00 91.16 90.00°
With the nearest neighbours (Å) after each atom.
Positions (direct):
1 Pb 0.5000 0.5000 0.5000  8 Si 3.02-3.03, 2 Pb 3.27, 2 Tl 3.36
2 Si 0.0070 0.0000 0.6877  1 Si 2.52
3 Si 0.9930 0.0000 0.3123  1 Si 2.52
4 Tl 0.5000 0.5000 0.0000  2 Tl 3.27, 2 Pb 3.36, 8 Si 3.43-3.49

Formation energy from raw total energies: 0.67 eV per atom
Crystal system: monoclinic
E_tot: -41.38 eV/atom
ΔE to the lowest computed polymorph: 270 meV/atom

***

3.
Density functional theory data (meta-GGA SCAN) for a PBEsol-optimized structure of CsK2Au2.

Cell: 5.1401 5.1401 7.8657 Å, 109.07 109.07 90.00°
With the nearest neighbours (Å) after each atom.
Positions (direct):
1 Cs 0.0000 0.0000 0.0000  8 Au 3.88, 8 K 4.33
2 K 0.2500 0.7500 0.5000  4 Au 3.34, 4 K 3.63
3 K 0.7500 0.2500 0.5000  4 Au 3.34, 4 K 3.63
4 Au 0.4027 0.4027 0.8054  1 Au 2.72
5 Au 0.5973 0.5973 0.1946  1 Au 2.72

Crystal system: tetragonal
Energy relative to the elements: -0.345 eV per atom
E_tot: -38.90 eV/atom
ΔE to the lowest computed polymorph: 0 meV/atom

***

4.
Density functional theory data (meta-GGA SCAN) for a PBEsol-optimized structure of KZn3Ir.

Cell: 4.8320 4.8320 4.8320 Å, 90.00 90.00 90.00°
With the nearest neighbours (Å) after each atom.
Positions (direct):
1 Zn 0.0000 0.5000 0.0000  2 Ir 2.42
2 Zn 0.0000 0.0000 0.5000  2 Ir 2.42
3 Zn 0.5000 0.0000 0.0000  2 Ir 2.42
4 Ir 0.0000 0.0000 0.0000  6 Zn 2.42
5 K 0.5000 0.5000 0.5000  12 Zn 3.42

Crystal system: cubic
Energy relative to the elements: -0.168 eV per atom
E_tot: -24.16 eV/atom
ΔE to the lowest computed polymorph: 0 meV/atom

***

5.
Density functional theory data (meta-GGA SCAN) for a PBEsol-optimized structure of BaMg2BiAu.

Cell: 6.0910 6.5215 6.5215 Å, 90.00 90.00 90.00°
With the nearest neighbours (Å) after each atom.
Positions (direct):
1 Mg 0.0000 0.0000 0.5000  2 Ba 3.26
2 Mg 0.0000 0.5000 0.0000  2 Ba 3.26
3 Au 0.5000 0.5000 0.5000  8 Mg 4.46, 4 Bi 4.61
4 Bi 0.5000 0.0000 0.0000  2 Ba 3.05
5 Ba 0.0000 0.0000 0.0000  2 Bi 3.05, 4 Mg 3.26

Crystal system: tetragonal
Energy relative to the elements: 1.249 eV per atom
E_tot: -38.20 eV/atom

***

6.
Density functional theory data (meta-GGA SCAN) for a PBEsol-optimized structure of Ca2CrAs.

Cell: 4.2896 4.2896 7.7986 Å, 74.04 74.04 60.00°
With the nearest neighbours (Å) after each atom.
Positions (direct):
1 Cr 0.0000 0.0000 0.0000  6 Ca 3.34
2 As 0.5000 0.5000 0.5000  6 Ca 2.87
3 Ca 0.7679 0.7679 0.6963  3 As 2.87
4 Ca 0.2321 0.2321 0.3037  3 As 2.87

Crystal system: trigonal
Energy relative to the elements: -0.295 eV per atom
E_tot: -14.77 eV/atom

***

7.
Density functional theory data (meta-GGA SCAN) for a PBEsol-optimized structure of Sc2SbAs.

Cell: 3.9345 3.9345 6.9508 Å, 73.56 73.56 60.00°
With the nearest neighbours (Å) after each atom.
Positions (direct):
1 Sc 0.7428 0.7428 0.7718  3 As 2.72, 3 Sb 2.89
2 Sc 0.2572 0.2572 0.2282  3 As 2.72, 3 Sb 2.89
3 Sb 0.5000 0.5000 0.5000  6 Sc 2.89
4 As 0.0000 0.0000 0.0000  6 Sc 2.72

Formation energy from raw total energies: -1.27 eV per atom
Crystal system: trigonal
E_tot: -22.75 eV/atom

***

8.
Density functional theory data (meta-GGA SCAN) for a PBEsol-optimized structure of InW2Se.

Cell: 2.9699 2.9699 8.9381 Å, 80.44 80.44 60.00°
With the nearest neighbours (Å) after each atom.
Positions (direct):
1 In 0.5000 0.5000 0.5000  6 W 2.96, 6 In 2.97
2 Se 0.0000 0.0000 0.0000  6 W 2.62
3 W 0.2583 0.2583 0.2251  3 Se 2.62
4 W 0.7417 0.7417 0.7749  3 Se 2.62

Formation energy from raw total energies: 0.64 eV per atom
Crystal system: trigonal
E_tot: -47.57 eV/atom
ΔE to the lowest computed polymorph: 0 meV/atom

***

9.
Density functional theory data (meta-GGA SCAN) for a PBEsol-optimized structure of MgIn2Ag.

Cell: 3.3967 4.4587 5.9879 Å, 90.00 106.49 90.00°
With the nearest neighbours (Å) after each atom.
Positions (direct):
1 Mg 0.4642 0.0000 0.5507  4 Ag 2.95, 3 In 3.10-3.14
2 Ag 0.0453 0.5000 0.7112  3 In 2.78-2.81, 4 Mg 2.95
3 In 0.1929 0.0000 0.0101  2 Ag 2.81, 4 In 3.06-3.08, 3 Mg 3.10-3.14
4 In 0.7976 0.5000 0.2279  1 Ag 2.78, 4 In 3.06-3.08

Crystal system: monoclinic
Energy relative to the elements: -0.060 eV per atom
E_tot: -25.84 eV/atom

***

10.
Density functional theory data (meta-GGA SCAN) for a PBEsol-optimized structure of La2WBr.

Cell: 3.2722 3.2722 10.2841 Å, 90.00 90.00 114.85°
With the nearest neighbours (Å) after each atom.
Positions (direct):
1 Br 0.5000 0.5000 0.2711  2 W 2.89, 2 La 3.03
2 W 0.0000 0.0000 0.4935  2 La 2.79, 2 Br 2.89
3 La 0.0000 0.0000 0.0315  2 Br 3.03, 4 La 3.27
4 La 0.5000 0.5000 0.7040  2 W 2.79

Formation energy from raw total energies: 0.53 eV per atom
Crystal system: orthorhombic
E_tot: -43.31 eV/atom
ΔE to the lowest computed polymorph: 703 meV/atom

***

11.
Density functional theory data (meta-GGA SCAN) for a PBEsol-optimized structure of Tb5Ti5O17.

Cell: 3.8243 5.3864 30.9737 Å, 90.00 90.00 90.00°
With the nearest neighbours (Å) after each atom.
Positions (direct):
1 Tb 0.5000 0.8417 0.5153  6 O 2.24-2.46
2 Tb 0.0000 0.1583 0.0153  6 O 2.24-2.46
3 Tb 0.0000 0.6799 0.6979  8 O 2.30-2.55
4 Tb 0.0000 0.2847 0.7935  7 O 2.29-2.48
5 Tb 0.0000 0.3422 0.5742  6 O 2.24-2.47
6 Tb 0.0000 0.8186 0.8918  8 O 2.31-2.55
7 Tb 0.5000 0.3201 0.1979  8 O 2.30-2.55
8 Tb 0.5000 0.7153 0.2935  7 O 2.29-2.48
9 Tb 0.5000 0.6578 0.0742  6 O 2.24-2.47
10 Tb 0.5000 0.1814 0.3918  8 O 2.31-2.55
11 Ti 0.5000 0.7824 0.6187  5 O 1.84-1.97
12 Ti 0.5000 0.2342 0.7060  6 O 1.85-2.07
13 Ti 0.5000 0.7600 0.7951  6 O 1.91-2.00
14 Ti 0.5000 0.2636 0.8833  5 O 1.87-2.01
15 Ti 0.5000 0.7181 0.9709  5 O 1.85-1.97
16 Ti 0.0000 0.2176 0.1187  5 O 1.84-1.97
17 Ti 0.0000 0.7658 0.2060  6 O 1.85-2.07
18 Ti 0.0000 0.2400 0.2951  6 O 1.91-2.00
19 Ti 0.0000 0.7364 0.3833  5 O 1.87-2.01
20 Ti 0.0000 0.2819 0.4709  5 O 1.85-1.97
21 O 0.0000 0.7788 0.9661  2 Ti 1.95
22 O 0.5000 0.9263 0.8497  2 Ti 1.91-2.09
23 O 0.5000 0.4319 0.8255  2 Ti 2.00-2.01
24 O 0.5000 0.0435 0.9299  1 Ti 1.87
25 O 0.5000 0.5693 0.9130  2 Ti 1.89-1.97
26 O 0.5000 0.2212 0.4661  2 Ti 1.95
27 O 0.5000 0.0580 0.5835  1 Ti 1.84
28 O 0.5000 0.5622 0.5690  1 Ti 1.94
29 O 0.5000 0.9245 0.6774  2 Ti 1.89-1.97
30 O 0.5000 0.4541 0.6599  1 Ti 1.85
31 O 0.5000 0.5618 0.7412  2 Ti 1.98-2.07
32 O 0.5000 0.0708 0.7654  2 Ti 1.91-2.04
33 O 0.0000 0.0737 0.3497  2 Ti 1.91-2.09
34 O 0.0000 0.5681 0.3255  2 Ti 2.00-2.01
35 O 0.0000 0.9565 0.4299  1 Ti 1.87
36 O 0.0000 0.4307 0.4130  2 Ti 1.89-1.97
37 O 0.0000 0.0615 0.5209  1 Ti 1.95
38 O 0.0000 0.5574 0.5065  1 Ti 1.85
39 O 0.0000 0.7207 0.6238  2 Ti 1.95
40 O 0.0000 0.2533 0.7154  2 Ti 1.94
41 O 0.0000 0.7324 0.7943  2 Ti 1.92
42 O 0.0000 0.2423 0.8731  2 Ti 1.94
43 O 0.0000 0.4378 0.0690  1 Ti 1.94
44 O 0.0000 0.9420 0.0835  1 Ti 1.84
45 O 0.0000 0.5459 0.1599  1 Ti 1.85
46 O 0.0000 0.0755 0.1774  2 Ti 1.89-1.97
47 O 0.0000 0.9292 0.2654  2 Ti 1.91-2.04
48 O 0.0000 0.4382 0.2412  2 Ti 1.98-2.07
49 O 0.5000 0.4426 0.0065  1 Ti 1.85
50 O 0.5000 0.9385 0.0209  1 Ti 1.95
51 O 0.5000 0.2793 0.1238  2 Ti 1.95
52 O 0.5000 0.7467 0.2154  2 Ti 1.94
53 O 0.5000 0.2676 0.2943  2 Ti 1.92
54 O 0.5000 0.7577 0.3731  2 Ti 1.94

Formation energy from raw total energies: -3.60 eV per atom
Crystal system: orthorhombic
E_tot: -19.15 eV/atom

***

12.
Density functional theory data (meta-GGA SCAN) for a PBEsol-optimized structure of TbY3.

Cell: 4.9475 4.9475 6.0598 Å, 114.09 114.09 90.00°
With the nearest neighbours (Å) after each atom.
Positions (direct):
1 Y 0.2500 0.7500 0.5000  8 Y 3.50, 4 Tb 3.50
2 Y 0.7500 0.2500 0.5000  8 Y 3.50, 4 Tb 3.50
3 Y 0.5000 0.5000 0.0000  4 Tb 3.50, 8 Y 3.50
4 Tb 0.0000 0.0000 0.0000  12 Y 3.50

Crystal system: tetragonal
Energy relative to the elements: 0.049 eV per atom
E_tot: -32.52 eV/atom

***

> The highest E_tot belongs to which entry?

Ca2CrAs

***

> Number 8 is which compound?

InW2Se

***

> Among the records above, which one has the highest E_tot?

Ca2CrAs

***

> The lowest E_tot belongs to which entry?

InW2Se